[1]
Crystalline Ac2LaNdDy at its relaxed geometry, computed with PBE.

volume	39.989	A^3/atom
DFT formation energy	0.2348	eV/atom
magnetization	0.000	μB/f.u.

Cell: 6.900 8.869 6.534 Å, 89.99 90.00 90.00°
Fractional coordinates of all 10 atoms:
La  0.418  0.000  0.750
La  0.582  0.000  0.250
Ac  0.288  0.707  0.250
Ac  0.712  0.707  0.750
Ac  0.288  0.293  0.250
Ac  0.712  0.293  0.750
Dy  0.000  0.000  0.500
Dy  0.000  0.000  0.000
Nd  0.183  0.500  0.750
Nd  0.817  0.500  0.250

---

[2]
Crystalline NiOsCl2 at its relaxed geometry, computed with PBE.

formation energy without anion corrections	0.74	eV/atom
volume	15.790	A^3/atom
magnetization	0.439	μB/f.u.
energy above the lowest structure with this stoichiometry	535	meV/atom

Cell: 3.878 2.928 5.913 Å, 109.87 90.00 90.00°
Last column: magnetic moment on the atom in μB.
Fractional coordinates of all 4 atoms:
Cl  0.000  0.638  0.497  0.01
Cl  0.000  0.862  0.003  0.01
Os  0.500  0.750  0.750  0.14
Ni  0.500  0.250  0.250  0.27

---

[3]
Crystalline InFeCu2Te4 at its relaxed geometry, computed with PBE.

formation energy without anion corrections	-0.11	eV/atom
volume	28.739	A^3/atom
magnetization	3.867	μB/f.u.

Cell: 7.491 7.491 7.491 Å, 131.65 131.65 70.78°
Last column: magnetic moment on the atom in μB.
Fractional coordinates of all 8 atoms:
Cu  0.250  0.750  0.500  0.03
Cu  0.000  0.000  0.000  0.03
Te  0.096  0.097  0.462  0.05
Te  0.636  0.635  0.538  0.05
Te  0.365  0.904  0.001  0.05
Te  0.903  0.364  0.999  0.05
In  0.500  0.500  0.000  0.03
Fe  0.750  0.250  0.500  3.10

---

[4]
Crystalline PmSmAlGa at its relaxed geometry, computed with PBE.

volume	24.838	A^3/atom
DFT formation energy	-0.4629	eV/atom
magnetization	0.000	μB/f.u.
energy above the lowest structure with this stoichiometry	21	meV/atom

Cell: 5.199 5.199 5.199 Å, 60.00 60.00 60.00°
Fractional coordinates of all 4 atoms:
Al  0.750  0.750  0.750
Sm  0.000  0.000  0.000
Pm  0.500  0.500  0.500
Ga  0.250  0.250  0.250

---

[5]
Crystalline BaLaSc at its relaxed geometry, computed with PBE.

volume	38.319	A^3/atom
DFT formation energy	0.2675	eV/atom
magnetization	0.000	μB/f.u.
energy above the lowest structure with this stoichiometry	90	meV/atom

Cell: 9.831 7.954 5.779 Å, 90.07 72.87 144.03°
Fractional coordinates of all 6 atoms:
Ba  0.129  0.344  0.525
Ba  0.796  0.157  0.191
Sc  0.463  0.438  0.858
Sc  0.463  0.063  0.858
La  0.796  0.602  0.191
La  0.129  0.899  0.525

---

[6]
Crystalline Sr2TaGeO6 at its relaxed geometry, computed with PBE.

formation energy without anion corrections	-2.53	eV/atom
volume	13.290	A^3/atom
magnetization	0.000	μB/f.u.

Cell: 5.707 5.716 5.721 Å, 60.58 60.06 90.29°
Fractional coordinates of all 10 atoms:
O  0.787  0.788  0.489
O  0.290  0.802  0.996
O  0.770  0.685  0.057
O  0.710  0.198  0.004
O  0.230  0.315  0.943
O  0.213  0.212  0.511
Ta  0.000  0.000  0.000
Ge  0.500  0.500  0.000
Sr  0.248  0.756  0.495
Sr  0.752  0.244  0.505

---

[7]
Crystalline K2Hf2CuSe6 at its relaxed geometry, computed with PBE.

formation energy without anion corrections	-1.08	eV/atom
volume	27.871	A^3/atom
magnetization	0.866	μB/f.u.

Cell: 6.736 6.736 8.202 Å, 97.54 97.54 121.23°
Last column: magnetic moment on the atom in μB.
Fractional coordinates of all 11 atoms:
Se  0.406  0.068  0.695  0.04
Se  0.932  0.594  0.305  0.04
Se  0.594  0.932  0.305  0.04
Se  0.260  0.260  0.320  0.09
Se  0.068  0.406  0.695  0.04
Se  0.740  0.740  0.680  0.09
Hf  0.670  0.330  0.500  0.01
Hf  0.330  0.670  0.500  0.01
K  0.838  0.162  0.000  0.00
K  0.162  0.838  0.000  0.00
Cu  0.000  0.000  0.500  0.28

---

[8]
Crystalline Pa2Ge4Rh3 at its relaxed geometry, computed with PBE.

volume	17.674	A^3/atom
DFT formation energy	-0.7085	eV/atom
magnetization	0.000	μB/f.u.

Cell: 5.759 7.574 7.842 Å, 90.00 111.54 90.00°
Fractional coordinates of all 18 atoms:
Ge  0.679  0.525  0.359
Ge  0.695  0.750  0.890
Ge  0.195  0.750  0.890
Ge  0.305  0.250  0.110
Ge  0.321  0.475  0.641
Ge  0.805  0.250  0.110
Ge  0.179  0.975  0.359
Ge  0.821  0.025  0.641
Rh  0.521  0.750  0.543
Rh  0.000  0.000  0.000
Rh  0.479  0.250  0.457
Rh  0.021  0.750  0.543
Rh  0.500  0.500  0.000
Rh  0.979  0.250  0.457
Pa  0.389  0.088  0.778
Pa  0.111  0.588  0.222
Pa  0.611  0.912  0.222
Pa  0.889  0.412  0.778